# AlIr

A geometry-optimized AlIr structure (PBE, Alexandria).

Output
* calculated volume: 21.43 Å³ per atom
* crystal system: cubic
* uncorrected energy: -11.83 eV per cell

a = 3.928 Å, b = 3.928 Å, c = 3.928 Å
α = 60.00°, β = 60.00°, γ = 60.00°
Fractional coordinates of all 2 atoms:
Al 0.000 0.000 0.000
Ir 0.750 0.750 0.750